Record 1
First-principles (PBE) data for PrTm4Pb5 after structural relaxation, as listed in Alexandria.

ρ = 10.97 g/cm3
M_tot = 0.000 Bohr magnetons per cell
ΔE_f = -386 kJ/mol of formula units
V = 28.05 Å³ per atom

Unit cell a=3.5385 b=3.5385 c=22.4035 alpha=90.00 beta=90.00 gamma=90.00
With the nearest neighbours (Å) after each atom.
Space group P4/mmm (No. 123)
Inequivalent atoms, fractional coordinates:
Pr (0.0000, 0.0000, 0.0000) x1  8 Pb 3.47, 4 Pr 3.54
Tm (0.0000, 0.0000, 0.2041) x2  8 Pb 3.31-3.34, 4 Tm 3.54
Tm (0.0000, 0.0000, 0.4017) x2  8 Pb 3.33-3.34, 4 Tm 3.54
Pb (0.5000, 0.5000, 0.1072) x2  4 Tm 3.31, 4 Pr 3.47, 4 Pb 3.54
Pb (0.5000, 0.5000, 0.3031) x2  8 Tm 3.34, 4 Pb 3.54
Pb (0.5000, 0.5000, 0.5000) x1  8 Tm 3.33, 4 Pb 3.54


Record 2
First-principles (PBE) data for Pr7Tm12Pb after structural relaxation, as listed in Alexandria.

ρ = 8.02 g/cm3
M_tot = 0.021 Bohr magnetons per cell
ΔE_f = 317 kJ/mol of formula units
V = 33.34 Å³ per atom

Unit cell a=12.2683 b=12.2683 c=15.3449 alpha=90.00 beta=90.00 gamma=120.00
With the nearest neighbours (Å) after each atom.
Space group R-3 (No. 148, hexagonal axes)
Inequivalent atoms, fractional coordinates:
Pr (0.0000, 0.0000, 0.0000) x3  6 Pr 3.58, 6 Tm 3.63
Pr (0.0120, 0.5793, 0.7045) x18  6 Tm 3.27-3.61, 1 Pr 3.58
Tm (0.0337, 0.8475, 0.8076) x18  6 Tm 3.49-3.86, 5 Pr 3.54-3.82
Tm (0.0714, 0.2603, 0.4221) x18  1 Pb 3.10, 3 Pr 3.27-3.46, 1 Tm 3.45
Pb (0.0000, 0.0000, 0.5000) x3  6 Tm 3.10


Record 3
First-principles (PBE) data for PrTm3Pb2 after structural relaxation, as listed in Alexandria.

ρ = 9.58 g/cm3
M_tot = 0.009 Bohr magnetons per cell
ΔE_f = -180 kJ/mol of formula units
V = 30.68 Å³ per atom

Unit cell a=18.2038 b=4.6102 c=9.5174 alpha=90.00 beta=112.81 gamma=90.00
With the nearest neighbours (Å) after each atom.
Space group C2/m (No. 12)
Inequivalent atoms, fractional coordinates:
Pr (0.1145, 0.0000, 0.1363) x4  6 Pb 3.31-3.51, 1 Tm 3.59
Tm (0.0579, 0.0000, 0.6868) x4  3 Pb 3.06-3.30, 3 Tm 3.36-3.37
Tm (0.1384, 0.5000, 0.4845) x4  4 Pb 3.20-3.31, 1 Tm 3.57
Tm (0.1931, 0.5000, 0.8872) x4  3 Pb 3.16-3.22, 4 Tm 3.28-3.37
Pb (0.0127, 0.5000, 0.8491) x4  4 Tm 3.06-3.30, 1 Pb 3.08, 2 Pr 3.31
Pb (0.2428, 0.0000, 0.7056) x4  6 Tm 3.20-3.31, 2 Pr 3.36


Record 4
First-principles (PBE) data for Pr3TmPb2 after structural relaxation, as listed in Alexandria.

ρ = 8.53 g/cm3
M_tot = 0.000 Bohr magnetons per cell
ΔE_f = -249 kJ/mol of formula units
V = 32.64 Å³ per atom

Unit cell a=4.6956 b=4.6956 c=8.8815 alpha=90.00 beta=90.00 gamma=90.00
With the nearest neighbours (Å) after each atom.
Space group P-4m2 (No. 115)
Inequivalent atoms, fractional coordinates:
Pr (0.0000, 0.0000, 0.0000) x1  4 Tm 3.32, 4 Pb 3.42
Pr (0.0000, 0.5000, 0.6543) x2  5 Pb 3.33-3.37
Tm (0.5000, 0.5000, 0.0000) x1  4 Pr 3.32, 4 Pb 3.42
Pb (0.0000, 0.5000, 0.2797) x2  7 Pr 3.33-3.42, 2 Tm 3.42